{
  "formula": "MnNb2ReH",
  "functional": "PBE",
  "state": "optimized geometry",
  "dft_energy_ev_per_atom": -9.14,
  "space_group": "P4/mmm",
  "cell": [[-2.511, -0.708, 3.572], [1.994, -3.898, 0.630], [2.295, 1.482, 1.907]],
  "species": ["Re", "Nb", "Nb", "Mn", "H"],
  "frac_coords": [[0.500, 0.500, 0.500], [0.000, 0.500, 0.000], [0.500, 0.000, 0.000], [0.000, 0.000, 0.500], [0.000, 0.000, 0.000]]
}

=====

{
  "formula": "Mn2NbReH",
  "functional": "PBE",
  "state": "optimized geometry",
  "de_polymorph_mev_per_atom": 21,
  "space_group": "P4/mmm",
  "cell": [[3.833, 0.000, 0.000], [0.000, 3.833, 0.000], [0.000, 0.000, 3.894]],
  "species": ["Re", "Nb", "Mn", "Mn", "H"],
  "frac_coords": [[0.000, 0.000, 0.500], [0.500, 0.500, 0.500], [0.000, 0.500, 0.000], [0.500, 0.000, 0.000], [0.000, 0.000, 0.000]]
}

=====

{
  "formula": "Mn2NbReH",
  "functional": "PBE",
  "state": "optimized geometry",
  "de_polymorph_mev_per_atom": 0,
  "space_group": "P4/mmm",
  "cell": [[-0.068, 2.682, 2.693], [-0.631, -2.664, 2.637], [3.891, -0.415, 0.512]],
  "species": ["Re", "Nb", "Mn", "Mn", "H"],
  "frac_coords": [[0.500, 0.500, 0.500], [0.000, 0.000, 0.500], [0.000, 0.500, 0.000], [0.500, 0.000, 0.000], [0.000, 0.000, 0.000]]
}

=====

D(E_F) (states/eV/atom)
0.611 1.197 1.027
Volume (Å³ per cell)
65.2 57.2 57.0